AlCd2CoBi | PBE | optimized geometry

The structure in CIF format:
```
data_AlCd2CoBi
_space_group_name_H-M_alt 'P 4/m m m'
_space_group_IT_number 123
_space_group_name_Hall '-P 4 2'
_cell_length_a 5.133
_cell_length_b 5.133
_cell_length_c 4.474
_cell_angle_alpha 90.00
_cell_angle_beta 90.00
_cell_angle_gamma 90.00
loop_
_atom_site_label
_atom_site_type_symbol
_atom_site_fract_x
_atom_site_fract_y
_atom_site_fract_z
_atom_site_occupancy
Al1 Al 0.000 0.000 0.000 1
Cd1 Cd 0.000 0.500 0.000 1
Co1 Co 0.000 0.000 0.500 1
Bi1 Bi 0.500 0.500 0.500 1
```

## Properties
DFT formation energy = 631 meV per atom
raw total energy = -13.40 eV/cell

=====

AlCdGaBi | PBE | optimized geometry

The structure in CIF format:
```
data_AlCdGaBi
_space_group_name_H-M_alt 'F -4 3 m'
_space_group_IT_number 216
_space_group_name_Hall 'F -4 2 3'
_cell_length_a 7.265
_cell_length_b 7.265
_cell_length_c 7.265
_cell_angle_alpha 90.00
_cell_angle_beta 90.00
_cell_angle_gamma 90.00
loop_
_atom_site_label
_atom_site_type_symbol
_atom_site_fract_x
_atom_site_fract_y
_atom_site_fract_z
_atom_site_occupancy
Al1 Al 0.000 0.000 0.000 1
Cd1 Cd 0.250 0.250 0.250 1
Ga1 Ga 0.000 0.000 0.500 1
Bi1 Bi 0.250 0.250 0.750 1
```

## Properties
DFT formation energy = 170 meV per atom
raw total energy = -43.54 eV/cell

=====

AlCdBi2H | PBE | optimized geometry

The structure in CIF format:
```
data_AlCdBi2H
_space_group_name_H-M_alt 'P 4/m m m'
_space_group_IT_number 123
_space_group_name_Hall '-P 4 2'
_cell_length_a 5.814
_cell_length_b 5.814
_cell_length_c 3.403
_cell_angle_alpha 90.00
_cell_angle_beta 90.00
_cell_angle_gamma 90.00
loop_
_atom_site_label
_atom_site_type_symbol
_atom_site_fract_x
_atom_site_fract_y
_atom_site_fract_z
_atom_site_occupancy
Al1 Al 0.000 0.000 0.000 1
Cd1 Cd 0.500 0.500 0.500 1
Bi1 Bi 0.000 0.500 0.000 1
H1 H 0.000 0.000 0.500 1
```

## Properties
raw total energy = -15.16 eV/cell

=====

AlCd2InBi | PBE | optimized geometry

The structure in CIF format:
```
data_AlCd2InBi
_space_group_name_H-M_alt 'P 4/m m m'
_space_group_IT_number 123
_space_group_name_Hall '-P 4 2'
_cell_length_a 5.832
_cell_length_b 5.832
_cell_length_c 5.773
_cell_angle_alpha 90.00
_cell_angle_beta 90.00
_cell_angle_gamma 90.00
loop_
_atom_site_label
_atom_site_type_symbol
_atom_site_fract_x
_atom_site_fract_y
_atom_site_fract_z
_atom_site_occupancy
Al1 Al 0.000 0.000 0.000 1
Cd1 Cd 0.000 0.500 0.500 1
In1 In 0.500 0.500 0.000 1
Bi1 Bi 0.500 0.500 0.500 1
```

## Properties
DFT formation energy = 717 meV per atom
raw total energy = -8.61 eV/cell